Compound: AsPt8
Source: OQMD via LeMat-Bulk
Functional: GGA-PBE
Structure: optimized geometry

Cell lengths 4.740, 4.740, 27.233 Å; angles 90.97, 90.97, 47.90 degrees
Fractional coordinates of all 18 atoms:
As (0.057, 0.057, 0.279)
As (0.943, 0.943, 0.721)
Pt (0.052, 0.052, 0.949)
Pt (0.149, 0.149, 0.187)
Pt (0.153, 0.153, 0.846)
Pt (0.247, 0.247, 0.085)
Pt (0.250, 0.250, 0.740)
Pt (0.350, 0.350, 0.983)
Pt (0.447, 0.447, 0.225)
Pt (0.454, 0.454, 0.881)
Pt (0.546, 0.546, 0.119)
Pt (0.553, 0.553, 0.775)
Pt (0.650, 0.650, 0.017)
Pt (0.750, 0.750, 0.260)
Pt (0.753, 0.753, 0.915)
Pt (0.847, 0.847, 0.154)
Pt (0.851, 0.851, 0.813)
Pt (0.948, 0.948, 0.051)

Computed properties:
The symmetry is C2/m (12). The magnetic moment is 0.0006 μB/atom.

***

Compound: AsPt9
Source: OQMD via LeMat-Bulk
Functional: GGA-PBE
Structure: optimized geometry

Cell lengths 2.841, 3.879, 40.531 Å; angles 90.00, 90.00, 90.00 degrees
Fractional coordinates of all 20 atoms:
As (0.250, 0.250, 0.175)
As (0.750, 0.750, 0.825)
Pt (0.250, 0.250, 0.239)
Pt (0.250, 0.250, 0.309)
Pt (0.250, 0.250, 0.379)
Pt (0.250, 0.250, 0.448)
Pt (0.250, 0.250, 0.517)
Pt (0.250, 0.250, 0.587)
Pt (0.250, 0.250, 0.656)
Pt (0.250, 0.250, 0.726)
Pt (0.250, 0.250, 0.799)
Pt (0.750, 0.750, 0.201)
Pt (0.750, 0.750, 0.274)
Pt (0.750, 0.750, 0.344)
Pt (0.750, 0.750, 0.413)
Pt (0.750, 0.750, 0.483)
Pt (0.750, 0.750, 0.552)
Pt (0.750, 0.750, 0.621)
Pt (0.750, 0.750, 0.691)
Pt (0.750, 0.750, 0.761)

Computed properties:
For the offset from the most stable computed form, the calculation gives 0.000 eV per atom. The symmetry is Pmmn (59). The magnetic moment is 0.0106 μB/atom.

***

Compound: AsPt
Source: OQMD via LeMat-Bulk
Functional: GGA-PBE
Structure: optimized geometry

Cell lengths 3.959, 3.959, 3.959 Å; angles 60.00, 60.00, 60.00 degrees
Fractional coordinates of all 2 atoms:
As (0.000, 0.000, 0.000)
Pt (0.750, 0.750, 0.750)

Computed properties:
The symmetry is F-43m (216). The magnetic moment is 0.0014 μB/atom.

***

Compound: AsPt2
Source: OQMD via LeMat-Bulk
Functional: GGA-PBE
Structure: optimized geometry

Cell lengths 5.297, 5.297, 5.297 Å; angles 60.00, 60.00, 60.00 degrees
Fractional coordinates of all 6 atoms:
As (0.125, 0.125, 0.125)
As (0.875, 0.875, 0.875)
Pt (0.000, 0.500, 0.500)
Pt (0.500, 0.000, 0.500)
Pt (0.500, 0.500, 0.000)
Pt (0.500, 0.500, 0.500)

Computed properties:
The symmetry is Fd-3m (227). The magnetic moment is 0.0012 μB/atom.

***

Compound: As2Pt7
Source: OQMD via LeMat-Bulk
Functional: GGA-PBE
Structure: optimized geometry

Cell lengths 2.857, 2.857, 32.426 Å; angles 90.00, 90.00, 120.00 degrees
Fractional coordinates of all 9 atoms:
As (0.333, 0.667, 0.228)
As (0.667, 0.333, 0.772)
Pt (0.000, 0.000, 0.289)
Pt (0.000, 0.000, 0.500)
Pt (0.000, 0.000, 0.711)
Pt (0.333, 0.667, 0.431)
Pt (0.333, 0.667, 0.639)
Pt (0.667, 0.333, 0.361)
Pt (0.667, 0.333, 0.569)

Computed properties:
The symmetry is P-3m1 (164). The magnetic moment is 0.0084 μB/atom.

***

Compound: AsPt
Source: OQMD via LeMat-Bulk
Functional: GGA-PBE
Structure: optimized geometry

Cell lengths 5.229, 3.664, 7.578 Å; angles 90.00, 90.00, 90.00 degrees
Fractional coordinates of all 8 atoms:
As (0.250, 0.000, 0.046)
As (0.250, 0.500, 0.686)
As (0.750, 0.000, 0.954)
As (0.750, 0.500, 0.314)
Pt (0.000, 0.000, 0.500)
Pt (0.250, 0.500, 0.259)
Pt (0.500, 0.000, 0.500)
Pt (0.750, 0.500, 0.741)

Computed properties:
The symmetry is Pmma (51). The magnetic moment is 0.0000 μB/atom.

***

Compound: AsPt9
Source: OQMD via LeMat-Bulk
Functional: GGA-PBE
Structure: optimized geometry

Cell lengths 2.826, 2.826, 47.785 Å; angles 90.00, 90.00, 90.00 degrees
Fractional coordinates of all 20 atoms:
As (0.250, 0.250, 0.114)
As (0.750, 0.750, 0.886)
Pt (0.250, 0.250, 0.192)
Pt (0.250, 0.250, 0.275)
Pt (0.250, 0.250, 0.357)
Pt (0.250, 0.250, 0.439)
Pt (0.250, 0.250, 0.520)
Pt (0.250, 0.250, 0.602)
Pt (0.250, 0.250, 0.684)
Pt (0.250, 0.250, 0.766)
Pt (0.250, 0.250, 0.851)
Pt (0.750, 0.750, 0.149)
Pt (0.750, 0.750, 0.234)
Pt (0.750, 0.750, 0.316)
Pt (0.750, 0.750, 0.398)
Pt (0.750, 0.750, 0.480)
Pt (0.750, 0.750, 0.561)
Pt (0.750, 0.750, 0.643)
Pt (0.750, 0.750, 0.725)
Pt (0.750, 0.750, 0.808)

Computed properties:
For the offset from the most stable computed form, the calculation gives 0.024 eV per atom. The symmetry is P4/nmm (129). The magnetic moment is 0.0008 μB/atom.

***

Compound: RbAs5Pt3
Source: OQMD via LeMat-Bulk
Functional: GGA-PBE
Structure: optimized geometry

Cell lengths 5.800, 5.800, 7.521 Å; angles 90.00, 90.00, 120.00 degrees
Fractional coordinates of all 9 atoms:
Rb (0.000, 0.000, 0.000)
As (0.000, 0.000, 0.500)
As (0.333, 0.667, 0.247)
As (0.333, 0.667, 0.753)
As (0.667, 0.333, 0.247)
As (0.667, 0.333, 0.753)
Pt (0.000, 0.500, 0.500)
Pt (0.500, 0.000, 0.500)
Pt (0.500, 0.500, 0.500)

Computed properties:
The symmetry is P6/mmm (191). The magnetic moment is 0.0195 μB/atom.

***

Compound: RbSbAsPt2
Source: OQMD via LeMat-Bulk
Functional: GGA-PBE
Structure: optimized geometry

Cell lengths 4.592, 4.592, 6.907 Å; angles 103.21, 103.21, 100.08 degrees
Fractional coordinates of all 5 atoms:
Rb (0.000, 0.000, 0.000)
Sb (0.372, 0.372, 0.669)
As (0.610, 0.610, 0.330)
Pt (0.182, 0.775, 0.474)
Pt (0.775, 0.182, 0.474)

Computed properties:
The symmetry is Cm (8). The magnetic moment is 0.0007 μB/atom.

***

Compound: ReAsPt
Source: OQMD via LeMat-Bulk
Functional: GGA-PBE
Structure: optimized geometry

Cell lengths 4.141, 4.141, 4.141 Å; angles 60.00, 60.00, 60.00 degrees
Fractional coordinates of all 3 atoms:
Re (0.000, 0.000, 0.000)
As (0.750, 0.750, 0.750)
Pt (0.500, 0.500, 0.500)

Computed properties:
The symmetry is F-43m (216). The magnetic moment is 0.0011 μB/atom.

***

Compound: AsPtS6
Source: OQMD via LeMat-Bulk
Functional: GGA-PBE
Structure: optimized geometry

Cell lengths 6.122, 6.122, 6.122 Å; angles 60.00, 60.00, 60.00 degrees
Fractional coordinates of all 8 atoms:
As (0.000, 0.000, 0.000)
Pt (0.250, 0.250, 0.250)
S (0.524, 0.524, 0.976)
S (0.524, 0.976, 0.524)
S (0.524, 0.976, 0.976)
S (0.976, 0.524, 0.524)
S (0.976, 0.524, 0.976)
S (0.976, 0.976, 0.524)

Computed properties:
The symmetry is F-43m (216). The magnetic moment is 0.0002 μB/atom.

***

Compound: SbAsPt
Source: OQMD via LeMat-Bulk
Functional: GGA-PBE
Structure: optimized geometry

Cell lengths 4.520, 4.520, 4.520 Å; angles 60.00, 60.00, 60.00 degrees
Fractional coordinates of all 3 atoms:
Sb (0.000, 0.000, 0.000)
As (0.500, 0.500, 0.500)
Pt (0.750, 0.750, 0.750)

Computed properties:
For the offset from the most stable computed form, the calculation gives 0.000 eV per atom. The symmetry is F-43m (216). The magnetic moment is 0.0006 μB/atom.

***

Compound: Sc2SbAsPt2
Source: OQMD via LeMat-Bulk
Functional: GGA-PBE
Structure: optimized geometry

Cell lengths 10.858, 4.436, 10.860 Å; angles 90.00, 109.49, 90.00 degrees
Fractional coordinates of all 24 atoms:
Sc (0.000, 0.000, 0.000)
Sc (0.119, 0.500, 0.372)
Sc (0.242, 0.000, 0.745)
Sc (0.374, 0.500, 0.120)
Sc (0.505, 0.000, 0.495)
Sc (0.630, 0.500, 0.878)
Sc (0.753, 0.000, 0.251)
Sc (0.876, 0.500, 0.620)
Sb (0.250, 0.000, 0.247)
Sb (0.375, 0.500, 0.622)
Sb (0.500, 0.000, 0.999)
Sb (0.752, 0.000, 0.749)
As (0.123, 0.500, 0.872)
As (0.627, 0.500, 0.372)
As (0.875, 0.500, 0.125)
As (0.998, 0.000, 0.497)
Pt (0.120, 0.500, 0.621)
Pt (0.246, 0.000, 0.994)
Pt (0.378, 0.500, 0.372)
Pt (0.500, 0.000, 0.748)
Pt (0.629, 0.500, 0.128)
Pt (0.752, 0.000, 0.496)
Pt (0.880, 0.500, 0.876)
Pt (0.997, 0.000, 0.249)

Computed properties:
The symmetry is Pm (6). The magnetic moment is 0.0002 μB/atom.

***

In eV per atom, the energy values for the records above are, in order, -5.905, -5.938, -5.505, -5.282, -5.729, -5.532, -5.914, -4.822, -4.862, -7.411, -3.704, -5.208, -6.732.